# 1
The following is a DFT calculation (PBE-GGA) of a relaxed Cs2Pr2PaS6 crystal.

Summary:
E_tot: -65.11 eV/f.u.

Cell lengths 7.2286, 7.2286, 8.6214 Å; angles 98.26, 98.26, 119.68 degrees
With the nearest neighbours (Å) after each atom.
Atoms (fractional coordinates):
Cs  0.1696  0.8304  0.0000  6 S 3.55-3.62
Cs  0.8304  0.1696  0.0000  6 S 3.55-3.62
Pr  0.3339  0.6661  0.5000  6 S 2.88-2.90
Pr  0.6661  0.3339  0.5000  6 S 2.88-2.90
Pa  0.0000  0.0000  0.5000  6 S 2.73-2.74
S  0.0597  0.3790  0.6802  1 Pa 2.74, 2 Pr 2.88-2.90
S  0.2534  0.2534  0.3198  1 Pa 2.73, 2 Pr 2.89
S  0.3790  0.0597  0.6802  1 Pa 2.74, 2 Pr 2.88-2.90
S  0.6210  0.9403  0.3198  1 Pa 2.74, 2 Pr 2.88-2.90
S  0.7466  0.7466  0.6802  1 Pa 2.73, 2 Pr 2.89
S  0.9403  0.6210  0.3198  1 Pa 2.74, 2 Pr 2.88-2.90


# 2
The following is a DFT calculation (PBE-GGA) of a relaxed LaPuCoIr crystal.

Summary:
energy of formation: -0.20 eV per atom

Cell lengths 4.9173, 4.9173, 4.9173 Å; angles 60.00, 60.00, 60.00 degrees
With the nearest neighbours (Å) after each atom.
Atoms (fractional coordinates):
La  0.0000  0.0000  0.0000  4 Ir 3.01, 4 Co 3.01
Pu  0.5000  0.5000  0.5000  4 Co 3.01, 4 Ir 3.01
Co  0.2500  0.2500  0.2500  4 Pu 3.01, 4 La 3.01
Ir  0.7500  0.7500  0.7500  4 Pu 3.01, 4 La 3.01


# 3
The following is a DFT calculation (PBE-GGA) of a relaxed RbPt crystal.

Summary:
energy of formation: -0.01 eV per atom

Cell lengths 9.3039, 9.3039, 5.2673 Å; angles 90.27, 90.27, 28.86 degrees
With the nearest neighbours (Å) after each atom.
Atoms (fractional coordinates):
Rb  0.0000  0.0000  0.0000  6 Pt 3.25-3.41, 2 Rb 3.58
Rb  0.5546  0.5546  0.5178  2 Pt 3.22-3.38, 2 Rb 3.58
Rb  0.7657  0.7657  0.0225  6 Pt 3.39-3.56
Pt  0.3805  0.3805  0.7558  4 Pt 2.60-2.69
Pt  0.3936  0.3936  0.2479  4 Pt 2.60-2.69
Pt  0.8916  0.8916  0.5040  4 Pt 2.68


# 4
The following is a DFT calculation (PBE-GGA) of a relaxed La2PmPrHo5 crystal.

Summary:
energy of formation: 0.24 eV per atom

Cell lengths 10.0276, 10.0276, 10.0276 Å; angles 128.59, 128.59, 75.67 degrees
With the nearest neighbours (Å) after each atom.
Atoms (fractional coordinates):
La  0.1178  0.6178  0.7356  1 La 2.90, 2 Ho 3.04
La  0.3822  0.1178  0.5000  1 La 2.90, 2 Ho 3.04
La  0.6178  0.8822  0.5000  1 La 2.90, 2 Ho 3.04
La  0.8822  0.3822  0.2644  1 La 2.90, 2 Ho 3.04
Pm  0.2500  0.2500  0.0000  10 Ho 3.56-3.96
Pm  0.7500  0.7500  0.0000  10 Ho 3.56-3.96
Pr  0.2500  0.7500  0.5000  4 Ho 3.15
Pr  0.7500  0.2500  0.5000  4 Ho 3.15
Ho  0.0000  0.0000  0.0000  4 La 3.48, 8 Ho 3.82
Ho  0.0730  0.1470  0.5000  1 La 3.04, 1 Pr 3.15
Ho  0.1470  0.6470  0.0740  1 La 3.04, 1 Pr 3.15
Ho  0.3530  0.4270  0.5000  1 La 3.04, 1 Pr 3.15
Ho  0.4270  0.9270  0.0740  1 La 3.04, 1 Pr 3.15
Ho  0.5000  0.5000  0.0000  4 La 3.48, 8 Ho 3.82
Ho  0.5730  0.0730  0.9260  1 La 3.04, 1 Pr 3.15
Ho  0.6470  0.5730  0.5000  1 La 3.04, 1 Pr 3.15
Ho  0.8530  0.3530  0.9260  1 La 3.04, 1 Pr 3.15
Ho  0.9270  0.8530  0.5000  1 La 3.04, 1 Pr 3.15


# 5
The following is a DFT calculation (PBE-GGA) of a relaxed PmEr3Tm7 crystal.

Summary:
E above lowest polymorph: 0.0 meV/atom
energy of formation: 0.16 eV per atom

Cell lengths 6.8493, 5.4542, 9.7947 Å; angles 90.00, 109.12, 90.00 degrees
With the nearest neighbours (Å) after each atom.
Atoms (fractional coordinates):
Pm  0.0000  0.0000  0.0000  2 Er 3.42, 10 Tm 3.50-3.76
Er  0.2751  0.5000  0.4934  1 Er 3.04, 4 Tm 3.28-3.33
Er  0.5000  0.0000  0.0000  2 Pm 3.42, 10 Tm 3.44-3.76
Er  0.7249  0.5000  0.5066  1 Er 3.04, 4 Tm 3.28-3.33
Tm  0.0000  0.0000  0.5000  4 Er 3.33, 2 Tm 3.70
Tm  0.1519  0.5000  0.7902  3 Tm 3.26-3.52, 2 Er 3.28-3.31
Tm  0.3227  0.5000  0.1423  5 Tm 3.25-3.52, 3 Er 3.46-3.56, 2 Pm 3.50
Tm  0.4303  0.0000  0.3322  3 Tm 3.11-3.25, 1 Er 3.44
Tm  0.5697  0.0000  0.6678  3 Tm 3.11-3.25, 1 Er 3.44
Tm  0.6773  0.5000  0.8577  5 Tm 3.25-3.52, 3 Er 3.46-3.56, 2 Pm 3.50
Tm  0.8481  0.5000  0.2098  3 Tm 3.26-3.52, 2 Er 3.28-3.31


# 6
The following is a DFT calculation (PBE-GGA) of a relaxed VCrNiB2 crystal.

Summary:
energy of formation: 1.44 eV per atom

Cell lengths 3.8843, 3.8843, 4.1442 Å; angles 90.00, 90.00, 90.00 degrees
With the nearest neighbours (Å) after each atom.
Atoms (fractional coordinates):
V  0.0000  0.0000  0.0000  4 B 1.94, 2 Ni 2.07
Cr  0.5000  0.5000  0.5000  4 Ni 2.75, 8 B 2.84
Ni  0.0000  0.0000  0.5000  2 V 2.07
B  0.0000  0.5000  0.0000  2 V 1.94
B  0.5000  0.0000  0.0000  2 V 1.94


# 7
The following is a DFT calculation (PBE-GGA) of a relaxed NaInSnS3 crystal.

Summary:
E_tot: -24.37 eV/f.u.

Cell lengths 8.2661, 4.0358, 10.6179 Å; angles 90.00, 91.48, 90.00 degrees
With the nearest neighbours (Å) after each atom.
Atoms (fractional coordinates):
Na  0.1187  0.2500  0.1138  5 S 2.85-2.93
Na  0.8813  0.7500  0.8862  5 S 2.85-2.93
In  0.0981  0.2500  0.6135  4 S 2.39-2.61
In  0.9019  0.7500  0.3865  4 S 2.39-2.61
Sn  0.4125  0.7500  0.8532  3 S 2.57-2.81
Sn  0.5875  0.2500  0.1468  3 S 2.57-2.81
S  0.1219  0.2500  0.8380  1 In 2.39
S  0.1924  0.7500  0.4879  3 In 2.55-2.61
S  0.3604  0.7500  0.0910  3 Sn 2.57-2.81, 2 Na 2.85
S  0.6396  0.2500  0.9090  3 Sn 2.57-2.81, 2 Na 2.85
S  0.8076  0.2500  0.5121  3 In 2.55-2.61
S  0.8781  0.7500  0.1620  1 In 2.39


# 8
The following is a DFT calculation (PBE-GGA) of a relaxed CrCdCo crystal.

Summary:
E above lowest polymorph: 0.0 meV/atom
energy of formation: 0.33 eV per atom

Cell lengths 5.8637, 5.8637, 5.8637 Å; angles 152.73, 152.73, 38.95 degrees
With the nearest neighbours (Å) after each atom.
Atoms (fractional coordinates):
Cr  0.0000  0.0000  0.0000  4 Co 2.34
Cd  0.6971  0.6971  0.0000  4 Cd 2.76, 4 Co 2.84, 4 Cr 2.93
Co  0.3830  0.3830  0.0000  4 Cr 2.34


# 9
The following is a DFT calculation (PBE-GGA) of a relaxed BaCd2AsRh2 crystal.

Summary:
energy of formation: -0.37 eV per atom

Cell lengths 4.7350, 4.7350, 6.3751 Å; angles 90.00, 90.00, 90.00 degrees
With the nearest neighbours (Å) after each atom.
Atoms (fractional coordinates):
Ba  0.0000  0.0000  0.0000  2 As 3.19
Cd  0.5000  0.5000  0.2416  4 Rh 2.88, 1 Cd 3.08
Cd  0.5000  0.5000  0.7584  4 Rh 2.88, 1 Cd 3.08
As  0.0000  0.0000  0.5000  4 Rh 2.37
Rh  0.0000  0.5000  0.5000  2 As 2.37
Rh  0.5000  0.0000  0.5000  2 As 2.37


# 10
The following is a DFT calculation (PBE-GGA) of a relaxed Nd5Dy4Tl4 crystal.

Summary:
energy of formation: -0.25 eV per atom

Cell lengths 9.2894, 9.2894, 9.2894 Å; angles 94.31, 94.31, 148.18 degrees
With the nearest neighbours (Å) after each atom.
Atoms (fractional coordinates):
Nd  0.0000  0.0000  0.0000  4 Tl 3.25
Nd  0.3071  0.6045  0.9116  5 Tl 3.28-3.65, 2 Dy 3.63
Nd  0.3955  0.3071  0.7026  5 Tl 3.28-3.65, 2 Dy 3.63
Nd  0.6045  0.6929  0.2974  5 Tl 3.28-3.65, 2 Dy 3.63
Nd  0.6929  0.3955  0.0884  5 Tl 3.28-3.65, 2 Dy 3.63
Dy  0.0933  0.3977  0.4910  3 Tl 3.14-3.32, 1 Dy 3.50
Dy  0.3977  0.9067  0.3044  3 Tl 3.14-3.32, 1 Dy 3.50
Dy  0.6023  0.0933  0.6956  3 Tl 3.14-3.32, 1 Dy 3.50
Dy  0.9067  0.6023  0.5090  3 Tl 3.14-3.32, 1 Dy 3.50
Tl  0.0975  0.7620  0.8595  3 Dy 3.14-3.32, 4 Nd 3.25-3.31
Tl  0.2380  0.0975  0.3355  3 Dy 3.14-3.32, 4 Nd 3.25-3.31
Tl  0.7620  0.9025  0.6645  3 Dy 3.14-3.32, 4 Nd 3.25-3.31
Tl  0.9025  0.2380  0.1405  3 Dy 3.14-3.32, 4 Nd 3.25-3.31


# 11
The following is a DFT calculation (PBE-GGA) of a relaxed TcTeHN2 crystal.

Summary:
E above lowest polymorph: 0.0 meV/atom

Cell lengths 3.7638, 3.7638, 5.6512 Å; angles 90.00, 90.00, 90.00 degrees
With the nearest neighbours (Å) after each atom.
Atoms (fractional coordinates):
Tc  0.0000  0.0000  0.0000  4 N 1.88
Te  0.0000  0.0000  0.5000  4 H 2.66, 2 Tc 2.83
H  0.5000  0.5000  0.5000  4 Te 2.66
N  0.0000  0.5000  0.0000  2 Tc 1.88
N  0.5000  0.0000  0.0000  2 Tc 1.88


# 12
The following is a DFT calculation (PBE-GGA) of a relaxed TiHgP2O crystal.

Summary:
E above lowest polymorph: 0.0 meV/atom

Cell lengths 4.9829, 4.9829, 3.7000 Å; angles 90.00, 90.00, 90.00 degrees
With the nearest neighbours (Å) after each atom.
Atoms (fractional coordinates):
Ti  0.0000  0.0000  0.0000  2 O 1.85
Hg  0.5000  0.5000  0.5000  8 P 3.10
P  0.0000  0.5000  0.0000  2 Ti 2.49
P  0.5000  0.0000  0.0000  2 Ti 2.49
O  0.0000  0.0000  0.5000  2 Ti 1.85


| no. | calculated volume (Å³ per cell) |
| --- | --- |
| 1 | 375.1 |
| 2 | 84.1 |
| 3 | 220.0 |
| 4 | 599.2 |
| 5 | 345.7 |
| 6 | 62.5 |
| 7 | 354.1 |
| 8 | 42.3 |
| 9 | 142.9 |
| 10 | 406.5 |
| 11 | 80.1 |
| 12 | 91.9 |